# 1
A relaxed structure of Zr2InHg. Source: Alexandria via LeMat-Bulk, functional PBE.

Computed properties:
ρ: 9.5 g/cm³
space-group type: No. 123
formation energy: -255.7 meV per atom

a = 3.1817 Å, b = 3.1817 Å, c = 8.6178 Å
α = 90.00°, β = 90.00°, γ = 90.00°
Fractional coordinates of all 4 atoms:
Zr (0.0000, 0.0000, 0.2476)
Zr (0.0000, 0.0000, 0.7524)
In (0.5000, 0.5000, 0.5000)
Hg (0.5000, 0.5000, 0.0000)

***

# 2
A relaxed structure of ZrIn4Hg. Source: Alexandria via LeMat-Bulk, functional PBE.

Computed properties:
ρ: 8.3 g/cm³
space-group type: No. 216
formation energy: 208.7 meV per atom

a = 5.9655 Å, b = 5.9655 Å, c = 5.9655 Å
α = 60.00°, β = 60.00°, γ = 60.00°
Fractional coordinates of all 6 atoms:
Zr (0.0000, 0.0000, 0.0000)
In (0.3751, 0.3751, 0.3751)
In (0.3751, 0.3751, 0.8747)
In (0.3751, 0.8747, 0.3751)
In (0.8747, 0.3751, 0.3751)
Hg (0.7500, 0.7500, 0.7500)

***

# 3
A relaxed structure of ZrInHg4. Source: Alexandria via LeMat-Bulk, functional PBE.

Computed properties:
ρ: 11.5 g/cm³
space-group type: No. 216
formation energy: 287.8 meV per atom

a = 5.9066 Å, b = 5.9066 Å, c = 5.9066 Å
α = 60.00°, β = 60.00°, γ = 60.00°
Fractional coordinates of all 6 atoms:
Zr (0.0000, 0.0000, 0.0000)
In (0.2500, 0.2500, 0.2500)
Hg (0.1237, 0.6254, 0.6254)
Hg (0.6254, 0.1237, 0.6254)
Hg (0.6254, 0.6254, 0.1237)
Hg (0.6254, 0.6254, 0.6254)

***

# 4
A relaxed structure of ZrInHg2. Source: Alexandria via LeMat-Bulk, functional PBE.

Computed properties:
ρ: 11.0 g/cm³
space-group type: No. 8
formation energy: -49.1 meV per atom

a = 6.0905 Å, b = 6.0905 Å, c = 5.6681 Å
α = 116.50°, β = 116.50°, γ = 29.47°
Fractional coordinates of all 4 atoms:
Zr (0.0000, 0.0000, 0.0000)
In (0.2568, 0.2568, 0.9503)
Hg (0.4923, 0.4923, 0.5133)
Hg (0.7335, 0.7335, 0.4315)

***

# 5
A relaxed structure of ZrInHg2. Source: Alexandria via LeMat-Bulk, functional PBE.

Computed properties:
ρ: 11.5 g/cm³
space-group type: No. 123
formation energy: -166.0 meV per atom

a = 4.4165 Å, b = 4.4165 Å, c = 4.5054 Å
α = 90.00°, β = 90.00°, γ = 90.00°
Fractional coordinates of all 4 atoms:
Zr (0.0000, 0.0000, 0.0000)
In (0.5000, 0.5000, 0.0000)
Hg (0.0000, 0.5000, 0.5000)
Hg (0.5000, 0.0000, 0.5000)

***

# 6
A relaxed structure of Zr2InHg. Source: Alexandria via LeMat-Bulk, functional PBE.

Computed properties:
ρ: 9.1 g/cm³
space-group type: No. 25
formation energy: -101.6 meV per atom

a = 3.3819 Å, b = 4.2760 Å, c = 6.2838 Å
α = 90.00°, β = 90.00°, γ = 90.00°
Fractional coordinates of all 4 atoms:
Zr (0.0000, 0.0000, 0.0000)
Zr (0.5000, 0.5000, 0.2525)
In (0.5000, 0.5000, 0.7589)
Hg (0.0000, 0.0000, 0.4959)

***

# 7
A relaxed structure of ZrIn2Hg2. Source: Alexandria via LeMat-Bulk, functional PBE.

Computed properties:
ρ: 10.1 g/cm³
space-group type: No. 127
formation energy: 125.1 meV per atom
E above lowest polymorph: 38 meV/atom

a = 8.1627 Å, b = 8.1627 Å, c = 3.5625 Å
α = 90.00°, β = 90.00°, γ = 90.00°
Fractional coordinates of all 10 atoms:
Zr (0.0000, 0.0000, 0.0000)
Zr (0.5000, 0.5000, 0.0000)
In (0.1351, 0.3649, 0.0000)
In (0.3649, 0.8649, 0.0000)
In (0.6351, 0.1351, 0.0000)
In (0.8649, 0.6351, 0.0000)
Hg (0.1681, 0.6681, 0.5000)
Hg (0.3319, 0.1681, 0.5000)
Hg (0.6681, 0.8319, 0.5000)
Hg (0.8319, 0.3319, 0.5000)

***

# 8
A relaxed structure of Zr12InHg3. Source: Alexandria via LeMat-Bulk, functional PBE.

Computed properties:
ρ: 8.5 g/cm³
space-group type: No. 123
formation energy: -164.2 meV per atom

a = 4.4499 Å, b = 4.4499 Å, c = 17.8273 Å
α = 90.00°, β = 90.00°, γ = 90.00°
Fractional coordinates of all 16 atoms:
Zr (0.0000, 0.0000, 0.0000)
Zr (0.0000, 0.0000, 0.2488)
Zr (0.0000, 0.0000, 0.5000)
Zr (0.0000, 0.0000, 0.7512)
Zr (0.0000, 0.5000, 0.1249)
Zr (0.0000, 0.5000, 0.3746)
Zr (0.0000, 0.5000, 0.6254)
Zr (0.0000, 0.5000, 0.8751)
Zr (0.5000, 0.0000, 0.1249)
Zr (0.5000, 0.0000, 0.3746)
Zr (0.5000, 0.0000, 0.6254)
Zr (0.5000, 0.0000, 0.8751)
In (0.5000, 0.5000, 0.5000)
Hg (0.5000, 0.5000, 0.0000)
Hg (0.5000, 0.5000, 0.2492)
Hg (0.5000, 0.5000, 0.7508)

***

# 9
A relaxed structure of ZrInHg2. Source: Alexandria via LeMat-Bulk, functional PBE.

Computed properties:
ρ: 10.7 g/cm³
space-group type: No. 166
formation energy: -8.7 meV per atom

a = 10.3339 Å, b = 10.3339 Å, c = 10.3339 Å
α = 18.21°, β = 18.21°, γ = 18.21°
Fractional coordinates of all 4 atoms:
Zr (0.0000, 0.0000, 0.0000)
In (0.5000, 0.5000, 0.5000)
Hg (0.2524, 0.2524, 0.2524)
Hg (0.7476, 0.7476, 0.7476)

***

# 10
A relaxed structure of ZrInHg2. Source: Alexandria via LeMat-Bulk, functional PBE.

Computed properties:
ρ: 10.6 g/cm³
space-group type: No. 35
formation energy: 17.6 meV per atom

a = 3.2855 Å, b = 3.2855 Å, c = 10.0610 Å
α = 90.00°, β = 90.00°, γ = 118.60°
Fractional coordinates of all 4 atoms:
Zr (0.0000, 0.0000, 0.0000)
In (0.5000, 0.5000, 0.7486)
Hg (0.0000, 0.0000, 0.4940)
Hg (0.5000, 0.5000, 0.2449)

***

# 11
A relaxed structure of ZrInHg2. Source: Alexandria via LeMat-Bulk, functional PBE.

Computed properties:
ρ: 11.3 g/cm³
space-group type: No. 139
formation energy: -54.4 meV per atom

a = 5.6253 Å, b = 5.6253 Å, c = 5.6253 Å
α = 134.35°, β = 134.35°, γ = 66.54°
Fractional coordinates of all 4 atoms:
Zr (0.0000, 0.0000, 0.0000)
In (0.5000, 0.5000, 0.0000)
Hg (0.2500, 0.7500, 0.5000)
Hg (0.7500, 0.2500, 0.5000)

***

# 12
A relaxed structure of Zr7InHg3. Source: Alexandria via LeMat-Bulk, functional PBE.

Computed properties:
ρ: 8.6 g/cm³
space-group type: No. 12
formation energy: 145.5 meV per atom

a = 7.4999 Å, b = 7.4999 Å, c = 5.3233 Å
α = 110.45°, β = 110.45°, γ = 86.03°
Fractional coordinates of all 11 atoms:
Zr (0.0000, 0.0000, 0.0000)
Zr (0.0919, 0.5143, 0.3026)
Zr (0.3034, 0.3034, 0.8085)
Zr (0.4857, 0.9081, 0.6974)
Zr (0.5143, 0.0919, 0.3026)
Zr (0.6966, 0.6966, 0.1915)
Zr (0.9081, 0.4857, 0.6974)
In (0.0000, 0.0000, 0.5000)
Hg (0.2790, 0.7210, 0.0000)
Hg (0.5000, 0.5000, 0.5000)
Hg (0.7210, 0.2790, 0.0000)